1.
La3PtW | GGA-PBE | relaxed

Cell lengths 5.456, 5.456, 5.456 Å; angles 90.00, 90.00, 90.00 degrees
Fractional positions:
La: 0.000 0.000 0.500
La: 0.000 0.500 0.000
La: 0.500 0.000 0.000
Pt: 0.500 0.500 0.500
W: 0.000 0.000 0.000

## Properties
Its volume is 32.48 Å³/atom. For the mass density, the calculation gives 8.1 Mg/m³. The calculation puts the electronic total energy at -31.8 eV/cell. The calculation puts the calculated formation energy at 189 kJ/mol of formula units.

2.
LaPt2W | GGA-PBE | relaxed

Cell lengths 2.882, 3.772, 7.241 Å; angles 90.00, 90.11, 90.00 degrees
Fractional positions:
La: 0.000 0.000 0.000
Pt: 0.499 0.500 0.307
Pt: 0.501 0.500 0.693
W: 0.000 0.000 0.500

## Properties
Its volume is 19.68 Å³/atom. For the mass density, the calculation gives 15.0 Mg/m³. The calculation puts the electronic total energy at -31.3 eV/cell. The calculation puts the calculated formation energy at -127 kJ/mol of formula units.

3.
LaPtW2 | GGA-PBE | relaxed

Cell lengths 2.919, 2.919, 9.447 Å; angles 90.00, 90.00, 109.69 degrees
Fractional positions:
La: 0.000 0.000 0.000
Pt: 0.500 0.500 0.725
W: 0.000 0.000 0.503
W: 0.500 0.500 0.288

## Properties
Its volume is 18.95 Å³/atom. For the mass density, the calculation gives 15.4 Mg/m³. The calculation puts the electronic total energy at -36.0 eV/cell. The calculation puts the calculated formation energy at 85 kJ/mol of formula units.

4.
La2PtW | GGA-PBE | relaxed

Cell lengths 3.289, 3.289, 9.389 Å; angles 90.00, 90.00, 90.00 degrees
Fractional positions:
La: 0.000 0.000 0.000
La: 0.500 0.500 0.382
Pt: 0.000 0.000 0.619
W: 0.500 0.500 0.761

## Properties
Its volume is 25.40 Å³/atom. For the mass density, the calculation gives 10.7 Mg/m³. The calculation puts the electronic total energy at -28.7 eV/cell. The calculation puts the calculated formation energy at 11 kJ/mol of formula units.

5.
LaPt2W | GGA-PBE | relaxed

Cell lengths 5.281, 5.281, 5.281 Å; angles 133.16, 133.16, 68.40 degrees
Fractional positions:
La: 0.000 0.000 0.000
Pt: 0.250 0.750 0.500
Pt: 0.500 0.500 0.000
W: 0.750 0.250 0.500

## Properties
Its volume is 19.24 Å³/atom. For the mass density, the calculation gives 15.4 Mg/m³. The calculation puts the electronic total energy at -29.8 eV/cell. The calculation puts the calculated formation energy at 20 kJ/mol of formula units.

6.
LaPtW2 | GGA-PBE | relaxed

Cell lengths 2.818, 2.818, 9.497 Å; angles 90.00, 90.00, 90.00 degrees
Fractional positions:
La: 0.000 0.000 0.000
Pt: 0.000 0.000 0.500
W: 0.500 0.500 0.287
W: 0.500 0.500 0.713

## Properties
Its volume is 18.86 Å³/atom. For the mass density, the calculation gives 15.4 Mg/m³. The calculation puts the electronic total energy at -35.3 eV/cell. The calculation puts the calculated formation energy at 154 kJ/mol of formula units.

7.
LaPt2W | GGA-PBE | relaxed

Cell lengths 4.747, 4.747, 4.747 Å; angles 60.00, 60.00, 60.00 degrees
Fractional positions:
La: 0.000 0.000 0.000
Pt: 0.250 0.250 0.250
Pt: 0.500 0.500 0.500
W: 0.750 0.750 0.750

## Properties
Its volume is 18.90 Å³/atom. For the mass density, the calculation gives 15.7 Mg/m³. The calculation puts the electronic total energy at -29.4 eV/cell. The calculation puts the calculated formation energy at 52 kJ/mol of formula units.

8.
LaPt2W | GGA-PBE | relaxed

Cell lengths 5.060, 5.060, 5.060 Å; angles 130.11, 115.60, 85.62 degrees
Fractional positions:
La: 0.000 0.000 0.000
Pt: 0.300 0.800 0.500
Pt: 0.700 0.200 0.500
W: 0.500 0.500 0.000

## Properties
Its volume is 21.36 Å³/atom. For the mass density, the calculation gives 13.9 Mg/m³. The calculation puts the electronic total energy at -30.3 eV/cell. The calculation puts the calculated formation energy at -36 kJ/mol of formula units.

9.
LaPt2W | GGA-PBE | relaxed

Cell lengths 2.946, 2.946, 8.599 Å; angles 90.00, 90.00, 90.00 degrees
Fractional positions:
La: 0.000 0.000 0.000
Pt: 0.500 0.500 0.288
Pt: 0.500 0.500 0.712
W: 0.000 0.000 0.500

## Properties
Its volume is 18.65 Å³/atom. For the mass density, the calculation gives 15.9 Mg/m³. The calculation puts the electronic total energy at -31.2 eV/cell. The calculation puts the calculated formation energy at -121 kJ/mol of formula units.

10.
LaPt2W | GGA-PBE | relaxed

Cell lengths 5.120, 5.120, 5.120 Å; angles 129.87, 129.87, 73.62 degrees
Fractional positions:
La: 0.000 0.000 0.000
Pt: 0.250 0.750 0.500
Pt: 0.750 0.250 0.500
W: 0.500 0.500 0.000

## Properties
Its volume is 19.29 Å³/atom. For the mass density, the calculation gives 15.3 Mg/m³. The calculation puts the electronic total energy at -29.9 eV/cell. The calculation puts the calculated formation energy at 5 kJ/mol of formula units.

11.
LaYPt2 | GGA-PBE | relaxed

Cell lengths 6.497, 6.497, 6.497 Å; angles 108.76, 108.76, 110.91 degrees
Fractional positions:
La: 0.000 0.000 0.000
La: 0.750 0.250 0.500
Y: 0.250 0.750 0.500
Y: 0.500 0.500 0.000
Pt: 0.134 0.625 0.009
Pt: 0.375 0.384 0.509
Pt: 0.616 0.125 0.991
Pt: 0.875 0.866 0.491

## Properties
Its volume is 26.38 Å³/atom. For the mass density, the calculation gives 9.7 Mg/m³. The calculation puts the electronic total energy at -53.1 eV/cell. The calculation puts the calculated formation energy at -296 kJ/mol of formula units.

12.
La3YPt | GGA-PBE | relaxed

Cell lengths 5.746, 5.746, 5.746 Å; angles 90.00, 90.00, 90.00 degrees
Fractional positions:
La: 0.000 0.000 0.500
La: 0.000 0.500 0.000
La: 0.500 0.000 0.000
Y: 0.500 0.500 0.500
Pt: 0.000 0.000 0.000

## Properties
Its volume is 37.94 Å³/atom. For the mass density, the calculation gives 6.1 Mg/m³. The calculation puts the electronic total energy at -28.6 eV/cell. The calculation puts the calculated formation energy at -131 kJ/mol of formula units.

13.
LaY3Pt | GGA-PBE | relaxed

Cell lengths 5.521, 5.521, 5.521 Å; angles 90.00, 90.00, 90.00 degrees
Fractional positions:
La: 0.000 0.000 0.000
Y: 0.000 0.500 0.500
Y: 0.500 0.000 0.500
Y: 0.500 0.500 0.000
Pt: 0.500 0.500 0.500

## Properties
Its volume is 33.65 Å³/atom. For the mass density, the calculation gives 5.9 Mg/m³. The calculation puts the electronic total energy at -32.4 eV/cell. The calculation puts the calculated formation energy at -196 kJ/mol of formula units.

14.
LaYPt3 | GGA-PBE | relaxed

Cell lengths 5.137, 5.137, 5.137 Å; angles 90.00, 90.00, 90.00 degrees
Fractional positions:
La: 0.000 0.000 0.000
Y: 0.500 0.500 0.500
Pt: 0.000 0.500 0.500
Pt: 0.500 0.000 0.500
Pt: 0.500 0.500 0.000

## Properties
Its volume is 27.12 Å³/atom. For the mass density, the calculation gives 10.0 Mg/m³. The calculation puts the electronic total energy at -30.8 eV/cell. The calculation puts the calculated formation energy at -124 kJ/mol of formula units.

15.
La4YPt | GGA-PBE | relaxed

Cell lengths 6.404, 6.404, 6.404 Å; angles 60.00, 60.00, 60.00 degrees
Fractional positions:
La: 0.123 0.123 0.123
La: 0.123 0.123 0.632
La: 0.123 0.632 0.123
La: 0.632 0.123 0.123
Y: 0.500 0.500 0.500
Pt: 0.750 0.750 0.750

## Properties
Its volume is 30.95 Å³/atom. For the mass density, the calculation gives 7.5 Mg/m³. The calculation puts the electronic total energy at -30.3 eV/cell. The calculation puts the calculated formation energy at 180 kJ/mol of formula units.

16.
LaYPt | GGA-PBE | relaxed

Cell lengths 7.071, 6.116, 10.827 Å; angles 90.00, 128.39, 90.00 degrees
Fractional positions:
La: 0.186 0.147 0.382
La: 0.186 0.353 0.882
La: 0.814 0.647 0.118
La: 0.814 0.853 0.618
Y: 0.336 0.618 0.636
Y: 0.336 0.882 0.136
Y: 0.664 0.118 0.864
Y: 0.664 0.382 0.364
Pt: 0.330 0.668 0.368
Pt: 0.330 0.832 0.868
Pt: 0.670 0.168 0.132
Pt: 0.670 0.332 0.632

## Properties
Its volume is 30.59 Å³/atom. For the mass density, the calculation gives 7.7 Mg/m³. The calculation puts the electronic total energy at -78.9 eV/cell. The calculation puts the calculated formation energy at -222 kJ/mol of formula units.

17.
LaYPt | GGA-PBE | relaxed

Cell lengths 4.864, 4.865, 7.147 Å; angles 92.70, 92.47, 90.30 degrees
Fractional positions:
La: 0.248 0.248 0.386
La: 0.752 0.752 0.614
Y: 0.254 0.745 0.000
Y: 0.746 0.255 0.000
Pt: 0.224 0.222 0.778
Pt: 0.776 0.778 0.222

## Properties
Its volume is 28.13 Å³/atom. For the mass density, the calculation gives 8.3 Mg/m³. The calculation puts the electronic total energy at -40.0 eV/cell. The calculation puts the calculated formation energy at -247 kJ/mol of formula units.

18.
LaY2Pt2 | GGA-PBE | relaxed

Cell lengths 6.384, 6.384, 6.384 Å; angles 131.55, 131.55, 70.93 degrees
Fractional positions:
La: 0.000 0.000 0.000
Y: 0.337 0.337 0.000
Y: 0.663 0.663 0.000
Pt: 0.250 0.750 0.500
Pt: 0.750 0.250 0.500

## Properties
Its volume is 28.54 Å³/atom. For the mass density, the calculation gives 8.2 Mg/m³. The calculation puts the electronic total energy at -33.1 eV/cell. The calculation puts the calculated formation energy at -309 kJ/mol of formula units.

19.
LaYPt2 | GGA-PBE | relaxed

Cell lengths 3.502, 5.098, 5.145 Å; angles 90.00, 90.00, 90.00 degrees
Fractional positions:
La: 0.000 0.000 0.000
Y: 0.000 0.500 0.514
Pt: 0.500 0.000 0.490
Pt: 0.500 0.500 0.032

## Properties
Its volume is 22.97 Å³/atom. For the mass density, the calculation gives 11.2 Mg/m³. The calculation puts the electronic total energy at -28.0 eV/cell. The calculation puts the calculated formation energy at -433 kJ/mol of formula units.

20.
LaYPt2 | GGA-PBE | relaxed

Cell lengths 7.748, 7.748, 7.748 Å; angles 32.43, 32.43, 32.43 degrees
Fractional positions:
La: 0.000 0.000 0.000
Y: 0.174 0.174 0.174
Pt: 0.449 0.449 0.449
Pt: 0.733 0.733 0.733

## Properties
Its volume is 29.73 Å³/atom. For the mass density, the calculation gives 8.6 Mg/m³. The calculation puts the electronic total energy at -26.4 eV/cell. The calculation puts the calculated formation energy at -282 kJ/mol of formula units.

21.
LaYPt3 | GGA-PBE | relaxed

Cell lengths 5.225, 5.225, 5.225 Å; angles 90.00, 90.00, 90.00 degrees
Fractional positions:
La: 0.000 0.000 0.000
Y: 0.500 0.500 0.500
Pt: 0.000 0.000 0.500
Pt: 0.000 0.500 0.000
Pt: 0.500 0.000 0.000

## Properties
Its volume is 28.53 Å³/atom. For the mass density, the calculation gives 9.5 Mg/m³. The calculation puts the electronic total energy at -29.0 eV/cell. The calculation puts the calculated formation energy at 54 kJ/mol of formula units.

22.
LaYPt | GGA-PBE | relaxed

Cell lengths 5.002, 5.002, 5.002 Å; angles 60.00, 60.00, 60.00 degrees
Fractional positions:
La: 0.000 0.000 0.000
Y: 0.500 0.500 0.500
Pt: 0.250 0.250 0.250

## Properties
Its volume is 29.50 Å³/atom. For the mass density, the calculation gives 7.9 Mg/m³. The calculation puts the electronic total energy at -19.7 eV/cell. The calculation puts the calculated formation energy at -220 kJ/mol of formula units.

23.
LaYPt2 | GGA-PBE | relaxed

Cell lengths 4.915, 4.915, 4.915 Å; angles 60.00, 60.00, 60.00 degrees
Fractional positions:
La: 0.000 0.000 0.000
Y: 0.250 0.250 0.250
Pt: 0.500 0.500 0.500
Pt: 0.750 0.750 0.750

## Properties
Its volume is 20.99 Å³/atom. For the mass density, the calculation gives 12.2 Mg/m³. The calculation puts the electronic total energy at -26.5 eV/cell. The calculation puts the calculated formation energy at -296 kJ/mol of formula units.

24.
LaYPt2 | GGA-PBE | relaxed

Cell lengths 5.996, 5.996, 5.996 Å; angles 139.19, 139.19, 59.09 degrees
Fractional positions:
La: 0.000 0.000 0.000
Y: 0.750 0.250 0.500
Pt: 0.250 0.750 0.500
Pt: 0.500 0.500 0.000

## Properties
Its volume is 22.79 Å³/atom. For the mass density, the calculation gives 11.3 Mg/m³. The calculation puts the electronic total energy at -27.2 eV/cell. The calculation puts the calculated formation energy at -355 kJ/mol of formula units.

25.
LaYPt2 | GGA-PBE | relaxed

Cell lengths 4.170, 4.170, 5.889 Å; angles 90.00, 90.00, 90.00 degrees
Fractional positions:
La: 0.000 0.000 0.000
Y: 0.500 0.500 0.500
Pt: 0.000 0.000 0.500
Pt: 0.500 0.500 0.000

## Properties
Its volume is 25.61 Å³/atom. For the mass density, the calculation gives 10.0 Mg/m³. The calculation puts the electronic total energy at -28.0 eV/cell. The calculation puts the calculated formation energy at -434 kJ/mol of formula units.

26.
La2YPt9 | GGA-PBE | relaxed

Cell lengths 9.562, 9.562, 9.562 Å; angles 33.15, 33.15, 33.15 degrees
Fractional positions:
La: 0.139 0.139 0.139
La: 0.861 0.861 0.861
Y: 0.000 0.000 0.000
Pt: 0.081 0.585 0.585
Pt: 0.333 0.333 0.333
Pt: 0.415 0.415 0.919
Pt: 0.415 0.919 0.415
Pt: 0.500 0.500 0.500
Pt: 0.585 0.081 0.585
Pt: 0.585 0.585 0.081
Pt: 0.667 0.667 0.667
Pt: 0.919 0.415 0.415

## Properties
Its volume is 19.39 Å³/atom. For the mass density, the calculation gives 15.1 Mg/m³. The calculation puts the electronic total energy at -81.7 eV/cell. The calculation puts the calculated formation energy at -1066 kJ/mol of formula units.

27.
LaYPt2 | GGA-PBE | relaxed

Cell lengths 7.465, 7.465, 7.465 Å; angles 31.97, 31.97, 31.97 degrees
Fractional positions:
La: 0.000 0.000 0.000
Y: 0.172 0.172 0.172
Pt: 0.583 0.583 0.583
Pt: 0.756 0.756 0.756

## Properties
Its volume is 25.90 Å³/atom. For the mass density, the calculation gives 9.9 Mg/m³. The calculation puts the electronic total energy at -27.7 eV/cell. The calculation puts the calculated formation energy at -406 kJ/mol of formula units.

28.
LaY2Pt | GGA-PBE | relaxed

Cell lengths 5.194, 5.194, 5.194 Å; angles 60.00, 60.00, 60.00 degrees
Fractional positions:
La: 0.000 0.000 0.000
Y: 0.250 0.250 0.250
Y: 0.750 0.750 0.750
Pt: 0.500 0.500 0.500

## Properties
Its volume is 24.78 Å³/atom. For the mass density, the calculation gives 8.6 Mg/m³. The calculation puts the electronic total energy at -25.1 eV/cell. The calculation puts the calculated formation energy at -114 kJ/mol of formula units.

29.
LaY2Pt | GGA-PBE | relaxed

Cell lengths 6.644, 6.644, 6.644 Å; angles 147.85, 131.76, 59.16 degrees
Fractional positions:
La: 0.000 0.000 0.000
Y: 0.304 0.804 0.500
Y: 0.696 0.196 0.500
Pt: 0.500 0.500 0.000

## Properties
Its volume is 28.86 Å³/atom. For the mass density, the calculation gives 7.4 Mg/m³. The calculation puts the electronic total energy at -26.2 eV/cell. The calculation puts the calculated formation energy at -220 kJ/mol of formula units.